This record from Alexandria describes MnSi4Hg after structural relaxation. The functional is PBE-GGA.

Properties
Raw formation energy ... 0.5309 eV per atom

Cell lengths 7.342, 7.342, 7.342 Å; angles 90.00, 90.00, 90.00 degrees
Space group F-43m (No. 216)
Inequivalent atoms, fractional coordinates:
Mn 0.000 0.000 0.000 x4
Si 0.126 0.126 0.374 x16
Hg 0.250 0.250 0.750 x4

This record from Alexandria describes YRuSe2 after structural relaxation. The functional is PBE-GGA.

Properties
Raw formation energy ... -0.5953 eV per atom
Energy relative to the lowest polymorph listed for this composition ... 209 meV/atom

Cell lengths 6.728, 6.728, 6.728 Å; angles 90.00, 90.00, 90.00 degrees
Space group Fm-3m (No. 225)
Inequivalent atoms, fractional coordinates:
Y 0.000 0.000 0.000 x4
Ru 0.000 0.000 0.500 x4
Se 0.250 0.250 0.250 x8

This record from Alexandria describes TmSnRh after structural relaxation. The functional is PBE-GGA.

Properties
Energy of formation from the pure elements ... -0.91 eV per atom

Cell lengths 7.6475, 7.6475, 3.6606 Å; angles 90.00, 90.00, 120.00 degrees
Space group P-62m (No. 189)
Inequivalent atoms, fractional coordinates:
Tm 0.0000 0.4005 0.0000 x3
Sn 0.0000 0.7317 0.5000 x3
Rh 0.0000 0.0000 0.0000 x1
Rh 0.3333 0.6667 0.5000 x2

This record from Alexandria describes PdSe2N after structural relaxation. The functional is PBE-GGA.

Properties
Raw formation energy ... 0.9633 eV per atom

Cell lengths 3.1162, 3.1162, 23.4992 Å; angles 90.00, 90.00, 120.00 degrees
Space group R-3m (No. 166, hexagonal axes)
Inequivalent atoms, fractional coordinates:
Pd 0.0000 0.0000 0.0000 x3
Se 0.0000 0.0000 0.1037 x6
N 0.0000 0.0000 0.5000 x3

This record from Alexandria describes KRb2Na2 after structural relaxation. The functional is PBE-GGA.

Properties
Energy of formation from the pure elements ... 0.09 eV per atom
Energy relative to the lowest polymorph listed for this composition ... 60 meV/atom

Cell lengths 6.215, 6.215, 17.953 Å; angles 90.00, 90.00, 90.00 degrees
Space group I4/mmm (No. 139)
Inequivalent atoms, fractional coordinates:
K 0.000 0.000 0.000 x2
Rb 0.000 0.500 0.250 x4
Na 0.000 0.000 0.409 x4

This record from Alexandria describes Sr2SbW after structural relaxation. The functional is PBE-GGA.

Properties
Raw formation energy ... 0.6681 eV per atom

Cell lengths 4.824, 4.824, 10.059 Å; angles 90.00, 90.00, 90.00 degrees
Space group I-4m2 (No. 119)
Inequivalent atoms, fractional coordinates:
Sr 0.000 0.000 0.000 x2
Sr 0.000 0.500 0.250 x2
Sb 0.000 0.000 0.500 x2
W 0.000 0.500 0.750 x2

This record from Alexandria describes CsRbNa2 after structural relaxation. The functional is PBE-GGA.

Properties
Energy of formation from the pure elements ... 0.03 eV per atom
Energy relative to the lowest polymorph listed for this composition ... 1 meV/atom

Cell lengths 9.332, 6.870, 16.614 Å; angles 90.00, 90.00, 90.00 degrees
Space group Pnma (No. 62)
Inequivalent atoms, fractional coordinates:
Cs 0.217 0.250 0.174 x4
Rb 0.190 0.250 0.470 x4
Na 0.049 0.750 0.309 x4
Na 0.084 0.250 0.896 x4

This record from Alexandria describes TeSF after structural relaxation. The functional is PBE-GGA.

Properties
Raw formation energy ... -0.6114 eV per atom
Energy relative to the lowest polymorph listed for this composition ... 123 meV/atom

Cell lengths 3.904, 3.904, 10.717 Å; angles 90.00, 90.00, 90.00 degrees
Space group I4mm (No. 107)
Inequivalent atoms, fractional coordinates:
Te 0.000 0.000 0.000 x2
S 0.000 0.000 0.496 x2
F 0.000 0.000 0.181 x2

This record from Alexandria describes CeNdHg6 after structural relaxation. The functional is PBE-GGA.

Properties
Energy of formation from the pure elements ... -0.35 eV per atom

Cell lengths 5.067, 6.838, 11.818 Å; angles 90.00, 90.00, 90.00 degrees
Space group Amm2 (No. 38)
Inequivalent atoms, fractional coordinates:
Ce 0.000 0.000 0.000 x2
Nd 0.500 0.000 0.328 x2
Hg 0.000 0.000 0.499 x2
Hg 0.000 0.241 0.746 x4
Hg 0.500 0.000 0.831 x2
Hg 0.500 0.244 0.582 x4

This record from Alexandria describes MgOsCl2 after structural relaxation. The functional is PBE-GGA.

Properties
Raw formation energy ... 0.2718 eV per atom
Energy relative to the lowest polymorph listed for this composition ... 489 meV/atom

Cell lengths 2.980, 2.980, 11.012 Å; angles 90.00, 90.00, 90.00 degrees
Space group P4/mmm (No. 123)
Inequivalent atoms, fractional coordinates:
Mg 0.000 0.000 0.000 x1
Os 0.000 0.000 0.500 x1
Cl 0.500 0.500 0.138 x2

This record from Alexandria describes TiIn after structural relaxation. The functional is PBE-GGA.

Properties
Energy of formation from the pure elements ... 0.00 eV per atom

Cell lengths 2.957, 11.602, 18.434 Å; angles 90.00, 90.00, 90.00 degrees
Space group Fddd (No. 70, origin choice 2)
Inequivalent atoms, fractional coordinates:
Ti 0.125 0.125 0.007 x16
In 0.125 0.253 0.625 x16

This record from Alexandria describes CsCaWC2 after structural relaxation. The functional is PBE-GGA.

Properties
Energy of formation from the pure elements ... 1.44 eV per atom

Cell lengths 4.286, 4.286, 5.562 Å; angles 90.00, 90.00, 90.00 degrees
Space group P4/mmm (No. 123)
Inequivalent atoms, fractional coordinates:
Cs 0.000 0.000 0.000 x1
Ca 0.500 0.500 0.000 x1
W 0.500 0.500 0.500 x1
C 0.000 0.500 0.500 x2

This record from Alexandria describes CrSi2RuC after structural relaxation. The functional is PBE-GGA.

Properties
Raw formation energy ... 1.8981 eV per atom

Cell lengths 4.346, 4.346, 4.381 Å; angles 90.00, 90.00, 90.00 degrees
Space group P4/mmm (No. 123)
Inequivalent atoms, fractional coordinates:
Cr 0.000 0.000 0.000 x1
Si 0.000 0.500 0.000 x2
Ru 0.000 0.000 0.500 x1
C 0.500 0.500 0.500 x1

This record from Alexandria describes Tl2Co after structural relaxation. The functional is PBE-GGA.

Properties
Energy of formation from the pure elements ... 0.84 eV per atom

Cell lengths 5.2030, 5.2030, 2.9641 Å; angles 90.00, 90.00, 120.00 degrees
Space group P6/mmm (No. 191)
Inequivalent atoms, fractional coordinates:
Tl 0.3333 0.6667 0.0000 x2
Co 0.0000 0.0000 0.5000 x1

no.,D(E_F) (states/eV per cell)
1,10.647
2,15.299
3,4.681
4,6.582
5,6.880
6,6.096
7,12.271
8,0.780
9,25.069
10,2.072
11,34.455
12,4.077
13,4.121
14,4.219